V5Sb4 | PBEsol | relaxed

Geometry as extended XYZ:
```
9
Lattice="-4.873 4.873 1.693 4.873 -4.873 1.693 4.873 4.873 -1.693" Properties=species:S:1:pos:R:3 pbc="T T T"
V 0.000 0.000 0.000
V 3.736 3.096 0.000
V 1.777 -1.137 1.693
V 3.096 6.009 0.000
V 1.137 1.777 1.693
Sb 2.843 0.595 0.000
Sb 4.278 -2.029 1.693
Sb 0.595 6.902 0.000
Sb 2.029 4.278 1.693
```

Calculated values
Space-group type = I4/m (87)
Energy relative to the elements, uncorrected = -0.174 eV per atom
N(E_F) = 0.6549 states/eV/atom
Final energy = -7.552 eV/atom